## BaCr2N2 (PBE)

Data for a geometry-optimized BaCr2N2 structure.

Cell and atoms, written as CIF:
```
data_BaCr2N2
_chemical_formula_sum 'Ba1 Cr2 N2'
_symmetry_space_group_name_H-M 'P 1'
_symmetry_Int_Tables_number 1
_cell_length_a 6.410
_cell_length_b 6.410
_cell_length_c 6.410
_cell_angle_alpha 149.34
_cell_angle_beta 149.34
_cell_angle_gamma 43.91
loop_
_symmetry_equiv_pos_as_xyz
'x,y,z'
loop_
_atom_site_label
_atom_site_type_symbol
_atom_site_fract_x
_atom_site_fract_y
_atom_site_fract_z
Ba1 Ba 0.000 0.000 0.000
Cr1 Cr 0.250 0.750 0.500
Cr2 Cr 0.750 0.250 0.500
N1 N 0.344 0.344 0.000
N2 N 0.656 0.656 0.000
```

Computed properties:
symmetry: No. 139
DOS at the Fermi energy: 3.67 states/eV/cell
ΔE_f (raw): -0.405 eV per atom
distance to the lowest polymorph of the same formula: 0.000 kcal/mol of atoms